Computed, not measured: Li2FeNi3O8 after structural relaxation at the PBE with a Hubbard U level of DFT.

a = 5.6999 Å, b = 5.7913 Å, c = 5.8628 Å
α = 61.36°, β = 60.91°, γ = 60.52°
Each line ends with the local moment (μB).
Fractional coordinates of all 14 atoms:
O 0.7829 0.7495 0.2059  0.04
O 0.2171 0.2505 0.7941  0.04
O 0.2558 0.7011 0.7872  0.05
O 0.2616 0.7495 0.2059  0.04
O 0.7384 0.2505 0.7941  0.04
O 0.2533 0.2873 0.2060  0.10
O 0.7442 0.2989 0.2128  0.05
O 0.7467 0.7127 0.7940  0.10
Ni 0.5000 0.5000 0.0000  -0.01
Ni 0.0000 0.0000 0.0000  1.16
Ni 0.0000 0.5000 0.0000  -0.01
Li 0.5000 0.5000 0.5000  0.01
Li 0.0000 0.5000 0.5000  0.01
Fe 0.5000 0.0000 0.0000  4.33

Results
- calculated volume (Å³/atom) = 10.0
- total DFT energy (no corrections) (eV per formula unit) = -71.774
- symmetry = No. 12